(1)
A plane-wave DFT calculation with PBE was carried out for a relaxed structure of Zr4Tc3Ni.

Unit cell a=3.3073 b=4.6443 c=9.1881 alpha=90.00 beta=90.00 gamma=90.00
Atoms (fractional coordinates):
Tc1 0.5000 0.0000 0.7565
Tc2 0.5000 0.0000 0.2435
Tc3 0.5000 0.5000 0.5000
Ni1 0.5000 0.5000 0.0000
Zr1 0.0000 0.5000 0.2507
Zr2 0.0000 0.0000 0.0000
Zr3 0.0000 0.0000 0.5000
Zr4 0.0000 0.5000 0.7493

crystal system	orthorhombic
DOS at the Fermi energy	3.8	states/eV/cell
energy	-9.2769	eV/atom
SG	Pmmm
V	141.13	Å³ per cell

***

(2)
A plane-wave DFT calculation with PBE was carried out for a relaxed structure of ZrTcNi.

Unit cell a=4.9944 b=5.1688 c=5.1688 alpha=58.26 beta=61.11 gamma=61.11
Atoms (fractional coordinates):
Zr1 0.1232 0.6268 0.6268
Zr2 0.8768 0.3732 0.3732
Ni1 0.5000 0.5000 0.0000
Ni2 0.5000 0.0000 0.5000
Tc1 0.5000 0.0000 0.0000
Tc2 0.0000 0.0000 0.0000

crystal system	orthorhombic
DOS at the Fermi energy	5.9	states/eV/cell
energy	-8.5795	eV/atom
SG	Imma
ΔE to the lowest computed polymorph	0	meV per atom
V	94.54	Å³ per cell

***

(3)
A plane-wave DFT calculation with PBE was carried out for a relaxed structure of ZrTc2Ni.

Unit cell a=4.4359 b=4.4359 c=4.4359 alpha=60.00 beta=60.00 gamma=60.00
Atoms (fractional coordinates):
Tc1 0.7500 0.7500 0.7500
Tc2 0.2500 0.2500 0.2500
Ni1 0.0000 0.0000 0.0000
Zr1 0.5000 0.5000 0.5000

crystal system	cubic
DOS at the Fermi energy	9.9	states/eV/cell
energy	-8.5939	eV/atom
SG	Fm-3m
ΔE to the lowest computed polymorph	270	meV per atom
V	61.72	Å³ per cell

***

(4)
A plane-wave DFT calculation with PBE was carried out for a relaxed structure of ZrTcNi.

Unit cell a=4.4897 b=4.4897 c=2.7036 alpha=90.00 beta=90.00 gamma=120.00
Atoms (fractional coordinates):
Zr1 0.3333 0.6667 0.6669
Tc1 0.6667 0.3333 0.3202
Ni1 0.0000 0.0000 0.0129

crystal system	trigonal
DOS at the Fermi energy	5.1	states/eV/cell
energy	-8.1421	eV/atom
SG	P3m1
ΔE to the lowest computed polymorph	437	meV per atom
V	47.20	Å³ per cell

***

Question: Which value of energy does entry 4 give?
Answer: -8.1421 eV/atom

***

Please write out number 3 again, unchanged.
A plane-wave DFT calculation with PBE was carried out for a relaxed structure of ZrTc2Ni.

Unit cell a=4.4359 b=4.4359 c=4.4359 alpha=60.00 beta=60.00 gamma=60.00
Atoms (fractional coordinates):
Tc1 0.7500 0.7500 0.7500
Tc2 0.2500 0.2500 0.2500
Ni1 0.0000 0.0000 0.0000
Zr1 0.5000 0.5000 0.5000

crystal system	cubic
DOS at the Fermi energy	9.9	states/eV/cell
energy	-8.5939	eV/atom
SG	Fm-3m
ΔE to the lowest computed polymorph	270	meV per atom
V	61.72	Å³ per cell

***

Question: Which value of V does entry 4 give?
Answer: 47.20 Å³ per cell